[1]
The following is a DFT calculation (PBE) of an optimized crystal structure of Dy3MgGa12.

```
data_Dy3MgGa12
_chemical_formula_sum 'Dy3 Mg1 Ga12'
_cell_length_a 4.263
_cell_length_b 4.263
_cell_length_c 16.987
_cell_angle_alpha 90.00
_cell_angle_beta 90.00
_cell_angle_gamma 90.00
_space_group_name_H-M_alt 'P 1'
_space_group_IT_number 1
_space_group_name_Hall 'P 1'
loop_
_atom_site_label
_atom_site_type_symbol
_atom_site_fract_x
_atom_site_fract_y
_atom_site_fract_z
Dy1 Dy 0.000 0.000 0.000
Dy2 Dy 0.000 0.000 0.254
Dy3 Dy 0.000 0.000 0.746
Mg1 Mg 0.000 0.000 0.500
Ga1 Ga 0.000 0.500 0.127
Ga2 Ga 0.000 0.500 0.383
Ga3 Ga 0.000 0.500 0.617
Ga4 Ga 0.000 0.500 0.873
Ga5 Ga 0.500 0.000 0.127
Ga6 Ga 0.500 0.000 0.383
Ga7 Ga 0.500 0.000 0.617
Ga8 Ga 0.500 0.000 0.873
Ga9 Ga 0.500 0.500 0.000
Ga10 Ga 0.500 0.500 0.245
Ga11 Ga 0.500 0.500 0.500
Ga12 Ga 0.500 0.500 0.755
```

Computed properties:
* total magnetization: 0.00 μB/f.u.
* DOS(E_F): 0.36 states/eV per atom
* energy of formation from the pure elements: -0.416 eV/atom
* raw total energy: -3.649 eV/atom
* calculated density: 7.25 g cm⁻³


[2]
The following is a DFT calculation (PBE) of an optimized crystal structure of Dy2MgGa3.

```
data_Dy2MgGa3
_chemical_formula_sum 'Dy4 Mg2 Ga6'
_cell_length_a 9.075
_cell_length_b 8.613
_cell_length_c 5.800
_cell_angle_alpha 75.23
_cell_angle_beta 66.60
_cell_angle_gamma 38.17
_space_group_name_H-M_alt 'P 1'
_space_group_IT_number 1
_space_group_name_Hall 'P 1'
loop_
_atom_site_label
_atom_site_type_symbol
_atom_site_fract_x
_atom_site_fract_y
_atom_site_fract_z
Dy1 Dy 0.246 0.754 0.754
Dy2 Dy 0.250 0.250 0.250
Dy3 Dy 0.750 0.750 0.750
Dy4 Dy 0.754 0.246 0.246
Mg1 Mg 0.333 0.333 0.667
Mg2 Mg 0.667 0.667 0.333
Ga1 Ga 0.164 0.164 0.836
Ga2 Ga 0.165 0.671 0.329
Ga3 Ga 0.329 0.835 0.165
Ga4 Ga 0.671 0.165 0.835
Ga5 Ga 0.835 0.329 0.671
Ga6 Ga 0.836 0.836 0.164
```

Computed properties:
* total magnetization: 0.00 μB/f.u.
* DOS(E_F): 0.43 states/eV per atom
* energy of formation from the pure elements: -0.520 eV/atom
* raw total energy: -3.833 eV/atom
* calculated density: 7.25 g cm⁻³


[3]
The following is a DFT calculation (PBE) of an optimized crystal structure of DyMg4Ga15.

```
data_DyMg4Ga15
_chemical_formula_sum 'Dy1 Mg4 Ga15'
_cell_length_a 4.220
_cell_length_b 4.220
_cell_length_c 21.062
_cell_angle_alpha 90.00
_cell_angle_beta 90.00
_cell_angle_gamma 90.00
_space_group_name_H-M_alt 'P 1'
_space_group_IT_number 1
_space_group_name_Hall 'P 1'
loop_
_atom_site_label
_atom_site_type_symbol
_atom_site_fract_x
_atom_site_fract_y
_atom_site_fract_z
Dy1 Dy 0.000 0.000 0.000
Mg1 Mg 0.000 0.000 0.202
Mg2 Mg 0.000 0.000 0.400
Mg3 Mg 0.000 0.000 0.600
Mg4 Mg 0.000 0.000 0.798
Ga1 Ga 0.000 0.500 0.105
Ga2 Ga 0.000 0.500 0.301
Ga3 Ga 0.000 0.500 0.500
Ga4 Ga 0.000 0.500 0.699
Ga5 Ga 0.000 0.500 0.895
Ga6 Ga 0.500 0.000 0.105
Ga7 Ga 0.500 0.000 0.301
Ga8 Ga 0.500 0.000 0.500
Ga9 Ga 0.500 0.000 0.699
Ga10 Ga 0.500 0.000 0.895
Ga11 Ga 0.500 0.500 0.000
Ga12 Ga 0.500 0.500 0.204
Ga13 Ga 0.500 0.500 0.401
Ga14 Ga 0.500 0.500 0.599
Ga15 Ga 0.500 0.500 0.796
```

Computed properties:
* total magnetization: 0.00 μB/f.u.
* DOS(E_F): 0.41 states/eV per atom
* energy of formation from the pure elements: -0.178 eV/atom
* raw total energy: -2.997 eV/atom
* calculated density: 5.78 g cm⁻³


[4]
The following is a DFT calculation (PBE) of an optimized crystal structure of DyMg2Ga.

```
data_DyMg2Ga
_chemical_formula_sum 'Dy3 Mg6 Ga3'
_cell_length_a 3.199
_cell_length_b 3.199
_cell_length_c 32.929
_cell_angle_alpha 90.00
_cell_angle_beta 90.00
_cell_angle_gamma 120.00
_space_group_name_H-M_alt 'P 1'
_space_group_IT_number 1
_space_group_name_Hall 'P 1'
loop_
_atom_site_label
_atom_site_type_symbol
_atom_site_fract_x
_atom_site_fract_y
_atom_site_fract_z
Dy1 Dy 0.000 0.000 0.000
Dy2 Dy 0.333 0.667 0.667
Dy3 Dy 0.667 0.333 0.333
Mg1 Mg 0.000 0.000 0.098
Mg2 Mg 0.000 0.000 0.902
Mg3 Mg 0.333 0.667 0.569
Mg4 Mg 0.333 0.667 0.764
Mg5 Mg 0.667 0.333 0.236
Mg6 Mg 0.667 0.333 0.431
Ga1 Ga 0.000 0.000 0.500
Ga2 Ga 0.333 0.667 0.167
Ga3 Ga 0.667 0.333 0.833
```

Computed properties:
* total magnetization: 0.00 μB/f.u.
* DOS(E_F): 0.59 states/eV per atom
* energy of formation from the pure elements: 0.120 eV/atom
* excess energy over the best structure of this formula in the dataset: 420 meV/atom
* raw total energy: -2.585 eV/atom
* calculated density: 4.79 g cm⁻³


[5]
The following is a DFT calculation (PBE) of an optimized crystal structure of DyMg2Ga.

```
data_DyMg2Ga
_chemical_formula_sum 'Dy1 Mg2 Ga1'
_cell_length_a 4.335
_cell_length_b 4.335
_cell_length_c 4.782
_cell_angle_alpha 90.00
_cell_angle_beta 90.00
_cell_angle_gamma 90.00
_space_group_name_H-M_alt 'P 1'
_space_group_IT_number 1
_space_group_name_Hall 'P 1'
loop_
_atom_site_label
_atom_site_type_symbol
_atom_site_fract_x
_atom_site_fract_y
_atom_site_fract_z
Dy1 Dy 0.000 0.000 0.000
Mg1 Mg 0.000 0.500 0.500
Mg2 Mg 0.500 0.000 0.500
Ga1 Ga 0.500 0.500 0.000
```

Computed properties:
* total magnetization: 0.00 μB/f.u.
* DOS(E_F): 0.23 states/eV per atom
* energy of formation from the pure elements: -0.300 eV/atom
* excess energy over the best structure of this formula in the dataset: 0 meV/atom
* raw total energy: -3.004 eV/atom
* calculated density: 5.19 g cm⁻³


[6]
The following is a DFT calculation (PBE) of an optimized crystal structure of DyMgGa5.

```
data_DyMgGa5
_chemical_formula_sum 'Dy1 Mg1 Ga5'
_cell_length_a 4.087
_cell_length_b 4.087
_cell_length_c 8.738
_cell_angle_alpha 90.00
_cell_angle_beta 90.00
_cell_angle_gamma 90.00
_space_group_name_H-M_alt 'P 1'
_space_group_IT_number 1
_space_group_name_Hall 'P 1'
loop_
_atom_site_label
_atom_site_type_symbol
_atom_site_fract_x
_atom_site_fract_y
_atom_site_fract_z
Dy1 Dy 0.000 0.000 0.000
Mg1 Mg 0.500 0.500 0.500
Ga1 Ga 0.000 0.500 0.262
Ga2 Ga 0.000 0.500 0.738
Ga3 Ga 0.500 0.000 0.262
Ga4 Ga 0.500 0.000 0.738
Ga5 Ga 0.500 0.500 0.000
```

Computed properties:
* total magnetization: 0.00 μB/f.u.
* DOS(E_F): 0.42 states/eV per atom
* energy of formation from the pure elements: -0.229 eV/atom
* raw total energy: -3.277 eV/atom
* calculated density: 6.09 g cm⁻³


[7]
The following is a DFT calculation (PBE) of an optimized crystal structure of DyMg8Ga6.

```
data_DyMg8Ga6
_chemical_formula_sum 'Dy1 Mg8 Ga6'
_cell_length_a 7.444
_cell_length_b 7.444
_cell_length_c 7.444
_cell_angle_alpha 67.01
_cell_angle_beta 67.01
_cell_angle_gamma 67.01
_space_group_name_H-M_alt 'P 1'
_space_group_IT_number 1
_space_group_name_Hall 'P 1'
loop_
_atom_site_label
_atom_site_type_symbol
_atom_site_fract_x
_atom_site_fract_y
_atom_site_fract_z
Dy1 Dy 0.000 0.000 0.000
Mg1 Mg 0.111 0.457 0.777
Mg2 Mg 0.223 0.889 0.543
Mg3 Mg 0.335 0.335 0.335
Mg4 Mg 0.457 0.777 0.111
Mg5 Mg 0.543 0.223 0.889
Mg6 Mg 0.665 0.665 0.665
Mg7 Mg 0.777 0.111 0.457
Mg8 Mg 0.889 0.543 0.223
Ga1 Ga 0.058 0.717 0.394
Ga2 Ga 0.283 0.606 0.942
Ga3 Ga 0.394 0.058 0.717
Ga4 Ga 0.606 0.942 0.283
Ga5 Ga 0.717 0.394 0.058
Ga6 Ga 0.942 0.283 0.606
```

Computed properties:
* total magnetization: 0.00 μB/f.u.
* DOS(E_F): 0.53 states/eV per atom
* energy of formation from the pure elements: -0.103 eV/atom
* raw total energy: -2.471 eV/atom
* calculated density: 3.84 g cm⁻³


[8]
The following is a DFT calculation (PBE) of an optimized crystal structure of Dy3MgGa3.

```
data_Dy3MgGa3
_chemical_formula_sum 'Dy6 Mg2 Ga6'
_cell_length_a 8.883
_cell_length_b 8.883
_cell_length_c 5.119
_cell_angle_alpha 90.00
_cell_angle_beta 90.00
_cell_angle_gamma 120.00
_space_group_name_H-M_alt 'P 1'
_space_group_IT_number 1
_space_group_name_Hall 'P 1'
loop_
_atom_site_label
_atom_site_type_symbol
_atom_site_fract_x
_atom_site_fract_y
_atom_site_fract_z
Dy1 Dy 0.010 0.256 0.250
Dy2 Dy 0.246 0.990 0.250
Dy3 Dy 0.256 0.246 0.750
Dy4 Dy 0.744 0.754 0.250
Dy5 Dy 0.754 0.010 0.750
Dy6 Dy 0.990 0.744 0.750
Mg1 Mg 0.333 0.667 0.750
Mg2 Mg 0.667 0.333 0.250
Ga1 Ga 0.022 0.598 0.250
Ga2 Ga 0.402 0.425 0.250
Ga3 Ga 0.425 0.022 0.750
Ga4 Ga 0.575 0.978 0.250
Ga5 Ga 0.598 0.575 0.750
Ga6 Ga 0.978 0.402 0.750
```

Computed properties:
* total magnetization: 0.00 μB/f.u.
* DOS(E_F): 0.48 states/eV per atom
* energy of formation from the pure elements: -0.243 eV/atom
* raw total energy: -3.741 eV/atom
* calculated density: 6.84 g cm⁻³


[9]
The following is a DFT calculation (PBE) of an optimized crystal structure of Dy3MgGa2.

```
data_Dy3MgGa2
_chemical_formula_sum 'Dy3 Mg1 Ga2'
_cell_length_a 3.627
_cell_length_b 3.627
_cell_length_c 11.016
_cell_angle_alpha 90.00
_cell_angle_beta 90.00
_cell_angle_gamma 90.00
_space_group_name_H-M_alt 'P 1'
_space_group_IT_number 1
_space_group_name_Hall 'P 1'
loop_
_atom_site_label
_atom_site_type_symbol
_atom_site_fract_x
_atom_site_fract_y
_atom_site_fract_z
Dy1 Dy 0.000 0.000 0.000
Dy2 Dy 0.000 0.000 0.318
Dy3 Dy 0.000 0.000 0.682
Mg1 Mg 0.500 0.500 0.500
Ga1 Ga 0.500 0.500 0.165
Ga2 Ga 0.500 0.500 0.835
```

Computed properties:
* total magnetization: 0.00 μB/f.u.
* DOS(E_F): 0.69 states/eV per atom
* energy of formation from the pure elements: -0.413 eV/atom
* raw total energy: -3.989 eV/atom
* calculated density: 7.46 g cm⁻³


[10]
The following is a DFT calculation (PBE) of an optimized crystal structure of Dy3MgGa.

```
data_Dy3MgGa
_chemical_formula_sum 'Dy6 Mg2 Ga2'
_cell_length_a 10.403
_cell_length_b 10.403
_cell_length_c 5.098
_cell_angle_alpha 90.00
_cell_angle_beta 90.00
_cell_angle_gamma 151.60
_space_group_name_H-M_alt 'P 1'
_space_group_IT_number 1
_space_group_name_Hall 'P 1'
loop_
_atom_site_label
_atom_site_type_symbol
_atom_site_fract_x
_atom_site_fract_y
_atom_site_fract_z
Dy1 Dy 0.062 0.938 0.750
Dy2 Dy 0.249 0.751 0.750
Dy3 Dy 0.435 0.565 0.750
Dy4 Dy 0.565 0.435 0.250
Dy5 Dy 0.751 0.249 0.250
Dy6 Dy 0.938 0.062 0.250
Mg1 Mg 0.157 0.843 0.250
Mg2 Mg 0.843 0.157 0.750
Ga1 Ga 0.340 0.660 0.250
Ga2 Ga 0.660 0.340 0.750
```

Computed properties:
* total magnetization: 0.00 μB/f.u.
* DOS(E_F): 1.03 states/eV per atom
* energy of formation from the pure elements: -0.254 eV/atom
* raw total energy: -3.940 eV/atom
* calculated density: 7.36 g cm⁻³


[11]
The following is a DFT calculation (PBE) of an optimized crystal structure of Dy8Mg2Ga.

```
data_Dy8Mg2Ga
_chemical_formula_sum 'Dy8 Mg2 Ga1'
_cell_length_a 9.355
_cell_length_b 9.355
_cell_length_c 6.976
_cell_angle_alpha 106.10
_cell_angle_beta 106.10
_cell_angle_gamma 32.97
_space_group_name_H-M_alt 'P 1'
_space_group_IT_number 1
_space_group_name_Hall 'P 1'
loop_
_atom_site_label
_atom_site_type_symbol
_atom_site_fract_x
_atom_site_fract_y
_atom_site_fract_z
Dy1 Dy 0.019 0.019 0.271
Dy2 Dy 0.197 0.197 0.781
Dy3 Dy 0.342 0.342 0.543
Dy4 Dy 0.406 0.406 0.054
Dy5 Dy 0.594 0.594 0.946
Dy6 Dy 0.658 0.658 0.457
Dy7 Dy 0.803 0.803 0.219
Dy8 Dy 0.981 0.981 0.729
Mg1 Mg 0.185 0.185 0.211
Mg2 Mg 0.815 0.815 0.789
Ga1 Ga 0.500 0.500 0.500
```

Computed properties:
* total magnetization: 0.00 μB/f.u.
* DOS(E_F): 1.14 states/eV per atom
* energy of formation from the pure elements: -0.049 eV/atom
* raw total energy: -3.961 eV/atom
* calculated density: 7.41 g cm⁻³


[12]
The following is a DFT calculation (PBE) of an optimized crystal structure of Dy2MgGa6.

```
data_Dy2MgGa6
_chemical_formula_sum 'Dy2 Mg1 Ga6'
_cell_length_a 7.837
_cell_length_b 7.837
_cell_length_c 7.837
_cell_angle_alpha 147.91
_cell_angle_beta 129.51
_cell_angle_gamma 61.09
_space_group_name_H-M_alt 'P 1'
_space_group_IT_number 1
_space_group_name_Hall 'P 1'
loop_
_atom_site_label
_atom_site_type_symbol
_atom_site_fract_x
_atom_site_fract_y
_atom_site_fract_z
Dy1 Dy 0.123 0.123 0.000
Dy2 Dy 0.877 0.877 0.000
Mg1 Mg 0.500 0.000 0.500
Ga1 Ga 0.115 0.312 0.803
Ga2 Ga 0.204 0.500 0.704
Ga3 Ga 0.491 0.688 0.803
Ga4 Ga 0.509 0.312 0.197
Ga5 Ga 0.796 0.500 0.296
Ga6 Ga 0.885 0.688 0.197
```

Computed properties:
* total magnetization: 0.00 μB/f.u.
* DOS(E_F): 0.41 states/eV per atom
* energy of formation from the pure elements: -0.350 eV/atom
* raw total energy: -3.568 eV/atom
* calculated density: 6.52 g cm⁻³